This record from Alexandria describes an optimized crystal structure of Y3Al3Ag2. The functional is PBE-GGA.

Summary:
* crystal system: orthorhombic
* electronic total energy: -4.963 eV per atom
* space-group type: Cmcm

The structure in POSCAR format:
```
Y3Al3Ag2
1.0
2.2546 -5.4028 0.0000
2.2546 5.4028 0.0000
0.0000 0.0000 14.8606
Y Al Ag
6 6 4
Cartesian
2.2546 4.4671 9.0725
2.2546 4.4671 13.2184
2.2546 1.4990 11.1455
2.2546 -1.4990 3.7152
2.2546 -4.4671 1.6422
2.2546 -4.4671 5.7881
2.2546 1.6376 3.7152
2.2546 1.2047 8.0023
2.2546 1.2047 14.2886
2.2546 -1.2047 0.5720
2.2546 -1.2047 6.8583
2.2546 -1.6376 11.1455
2.2546 3.1716 1.4687
2.2546 3.1716 5.9616
2.2546 -3.1716 8.8990
2.2546 -3.1716 13.3920
```